VASP calculation (PBE with a Hubbard U) on MgCrF6 after structural relaxation.

As for the total energy: -5.3156 eV/atom. The crystal system is trigonal.

The space group is P312 (No. 149) and the conventional cell measures 4.8821, 4.8821 and 4.5890 Å, with angles of 90.00, 90.00 and 120.00 degrees. Symmetry generates all atoms from Mg at (0.0000, 0.0000, 0.0000), Cr at (0.6667, 0.3333, 0.5000) and F at (0.3518, 0.0320, 0.7396).